No. 1
Here is crystalline Pm4DyRh2 at its relaxed geometry from Alexandria via LeMat-Bulk. Energies are from PBE.

Cell and atoms, written as POSCAR:
```
Pm4DyRh2
1.0
-0.354 -1.936 -4.740
-1.856 -4.732 -0.707
-9.055 1.154 -2.574
Pm Dy Rh
4 1 2
Cartesian
-9.591 -3.673 -6.120
-4.798 -5.618 -5.683
-1.675 -1.842 -1.901
-6.467 0.103 -2.338
-5.633 -2.758 -4.011
-3.146 -3.767 -3.784
-8.120 -1.748 -4.237
```

Computed properties:
DOS at the Fermi energy: 8.15 states/eV/f.u.
calculated formation energy: -29 kJ/mol of atoms
DFT total energy: -5.768 eV/atom

***

No. 2
Here is crystalline Pm3DyRh2 at its relaxed geometry from Alexandria via LeMat-Bulk. Energies are from PBE.

Cell and atoms, written as POSCAR:
```
Pm3DyRh2
1.0
6.840 0.000 0.000
0.000 7.238 0.000
-3.420 -3.619 6.884
Pm Dy Rh
6 2 4
Cartesian
3.420 1.809 0.000
3.420 5.428 0.000
3.420 -1.810 3.700
0.000 1.810 3.184
0.000 5.428 3.184
3.420 1.809 3.700
0.000 3.619 0.000
0.000 0.000 0.000
1.469 0.000 5.005
4.889 0.000 1.879
-1.469 3.619 5.005
1.952 3.619 1.879
```

Computed properties:
DOS at the Fermi energy: 5.23 states/eV/f.u.
calculated formation energy: -48 kJ/mol of atoms
DFT total energy: -6.090 eV/atom

***

No. 3
Here is crystalline Pm4DyRh4 at its relaxed geometry from Alexandria via LeMat-Bulk. Energies are from PBE.

Cell and atoms, written as POSCAR:
```
Pm4DyRh4
1.0
-5.302 -1.300 1.814
1.770 -8.652 -1.028
2.961 -0.389 8.374
Pm Dy Rh
8 2 8
Cartesian
1.119 -3.570 8.099
-1.367 -6.531 7.830
-0.682 -6.524 0.717
1.556 -1.989 4.856
0.511 -8.979 5.911
2.167 -7.298 2.836
-3.498 -4.862 2.800
-2.089 -1.608 3.595
0.000 0.000 0.000
-0.285 -5.170 4.580
-0.701 -7.612 3.473
-0.949 -2.993 6.057
3.171 -8.022 5.374
-1.677 -3.866 8.712
-3.117 -7.510 1.894
-0.766 -3.887 2.239
1.275 -6.189 6.553
0.481 -1.283 2.342
```

Computed properties:
DOS at the Fermi energy: 5.61 states/eV/f.u.
calculated formation energy: -58 kJ/mol of atoms
DFT total energy: -6.488 eV/atom

***

No. 4
Here is crystalline Pm3DyRh8 at its relaxed geometry from Alexandria via LeMat-Bulk. Energies are from PBE.

Cell and atoms, written as POSCAR:
```
Pm3DyRh8
1.0
-3.414 -4.144 -0.399
0.559 -4.269 3.231
-6.240 0.983 6.863
Pm Dy Rh
3 1 8
Cartesian
-6.530 -2.296 7.066
-2.858 -8.410 2.836
-4.541 -3.720 4.840
-4.843 -6.989 5.057
-4.135 -5.560 2.338
-5.252 -5.148 7.560
-2.430 -3.490 2.538
-6.955 -7.216 7.361
-3.264 -1.149 3.532
-7.813 -4.862 8.382
-2.150 -5.623 4.152
-7.234 -5.086 5.749
```

Computed properties:
DOS at the Fermi energy: 6.85 states/eV/f.u.
calculated formation energy: -67 kJ/mol of atoms
DFT total energy: -7.169 eV/atom

***

No. 5
Here is crystalline Pm3Dy4Rh4 at its relaxed geometry from Alexandria via LeMat-Bulk. Energies are from PBE.

Cell and atoms, written as POSCAR:
```
Pm3Dy4Rh4
1.0
-1.517 -1.034 3.374
2.815 -8.339 -1.289
6.215 6.443 2.582
Pm Dy Rh
3 4 4
Cartesian
1.398 0.358 0.738
6.114 -3.287 3.929
1.407 -4.169 -0.644
4.047 2.740 2.660
2.406 -2.532 2.493
3.465 -5.669 2.008
5.106 -0.397 2.175
4.787 -3.304 1.140
2.725 0.375 3.527
1.436 -7.017 0.682
-0.138 -2.355 1.403
```

Computed properties:
DOS at the Fermi energy: 8.48 states/eV/f.u.
calculated formation energy: -58 kJ/mol of atoms
DFT total energy: -6.239 eV/atom

***

No. 6
Here is crystalline PmDyRuRh at its relaxed geometry from Alexandria via LeMat-Bulk. Energies are from PBE.

Cell and atoms, written as POSCAR:
```
PmDyRuRh
1.0
-0.365 1.305 3.181
-3.280 -1.089 0.070
2.053 -6.009 2.700
Pm Dy Ru Rh
1 1 1 1
Cartesian
-1.594 -0.560 1.926
-0.583 -3.521 3.256
0.747 -2.186 0.982
1.743 -5.103 2.293
```

Computed properties:
DOS at the Fermi energy: 1.55 states/eV/f.u.
calculated formation energy: -51 kJ/mol of atoms
DFT total energy: -7.022 eV/atom

***

No. 7
Here is crystalline PmDyRuRh at its relaxed geometry from Alexandria via LeMat-Bulk. Energies are from PBE.

Cell and atoms, written as POSCAR:
```
PmDyRuRh
1.0
4.891 0.000 0.000
2.446 4.236 0.000
2.446 1.412 3.994
Ru Pm Rh Dy
1 1 1 1
Cartesian
7.337 4.236 2.995
4.891 2.824 1.997
2.446 1.412 0.998
0.000 0.000 0.000
```

Computed properties:
DOS at the Fermi energy: 2.67 states/eV/f.u.
calculated formation energy: -49 kJ/mol of atoms
DFT total energy: -7.003 eV/atom

***

No. 8
Here is crystalline PmDySiRh at its relaxed geometry from Alexandria via LeMat-Bulk. Energies are from PBE.

Cell and atoms, written as POSCAR:
```
PmDySiRh
1.0
4.989 0.000 0.000
2.494 4.320 0.000
2.494 1.440 4.073
Si Pm Rh Dy
1 1 1 1
Cartesian
7.483 4.320 3.055
0.000 0.000 0.000
2.494 1.440 1.018
4.989 2.880 2.037
```

Computed properties:
formation energy (no corrections): -0.601 eV/atom
DOS at the Fermi energy: 2.09 states/eV/f.u.
DFT total energy: -6.133 eV/atom

***

What did the seventh record say?
Here is crystalline PmDyRuRh at its relaxed geometry from Alexandria via LeMat-Bulk. Energies are from PBE.

Cell and atoms, written as POSCAR:
```
PmDyRuRh
1.0
4.891 0.000 0.000
2.446 4.236 0.000
2.446 1.412 3.994
Ru Pm Rh Dy
1 1 1 1
Cartesian
7.337 4.236 2.995
4.891 2.824 1.997
2.446 1.412 0.998
0.000 0.000 0.000
```

Computed properties:
DOS at the Fermi energy: 2.67 states/eV/f.u.
calculated formation energy: -49 kJ/mol of atoms
DFT total energy: -7.003 eV/atom

***

Q: DOS at the Fermi energy of number 5 (Pm3Dy4Rh4)?
A: 8.48 states/eV/f.u.

***

Q: Which formula does entry 4 have?
A: Pm3DyRh8